Entry 1:
## Mg2AgP2 (GGA-PBE)

Data for crystalline Mg2AgP2 at its relaxed geometry.

Geometry as POSCAR:
```
Mg2AgP2
1.0
-1.316 0.815 6.613
2.359 -6.247 1.239
3.544 1.443 0.528
Ag P Mg
2 4 4
direct
0.500 0.500 0.000
0.000 0.000 0.000
0.123 0.377 0.000
0.877 0.623 0.000
0.377 0.877 0.000
0.623 0.123 0.000
0.680 0.820 0.500
0.820 0.320 0.500
0.320 0.180 0.500
0.180 0.680 0.500
```

Properties
SG: P4/mbm (127)
Formation enthalpy at 0 K in eV/f.u.: -0.89
VASP energy in Ry/atom: -0.261



Entry 2:
## Mg2AgP (GGA-PBE)

Data for crystalline Mg2AgP at its relaxed geometry.

Geometry as POSCAR:
```
Mg2AgP
1.0
-3.652 1.968 -2.316
-4.343 -0.058 1.925
-1.940 4.028 1.608
P Mg Ag
1 2 1
direct
0.250 0.250 0.250
0.000 0.000 0.000
0.750 0.750 0.750
0.500 0.500 0.500
```

Properties
SG: F-43m (216)
Formation enthalpy at 0 K in eV/f.u.: 0.24
VASP energy in Ry/atom: -0.206



Entry 3:
## MgAgP2 (GGA-PBE)

Data for crystalline MgAgP2 at its relaxed geometry.

Geometry as POSCAR:
```
MgAgP2
1.0
9.321 -0.108 -0.063
8.891 2.801 -0.063
8.891 1.315 2.474
P Ag Mg
2 1 1
direct
0.248 0.248 0.248
0.005 0.005 0.005
0.500 0.500 0.500
0.748 0.748 0.748
```

Properties
SG: R3m (160)
Formation enthalpy at 0 K in eV/f.u.: 1.59
VASP energy in Ry/atom: -0.251



Entry 4:
## Mg2AgP (GGA-PBE)

Data for crystalline Mg2AgP at its relaxed geometry.

Geometry as POSCAR:
```
Mg2AgP
1.0
-3.940 -5.532 0.031
-0.108 -5.941 -3.289
3.002 4.782 3.774
Mg P Ag
2 1 1
direct
0.971 0.971 0.000
0.699 0.199 0.500
0.524 0.524 0.000
0.306 0.806 0.500
```

Properties
SG: Imm2 (44)
Formation enthalpy at 0 K in eV/f.u.: -0.72
VASP energy in Ry/atom: -0.224



Entry 5:
## MgAg2P (GGA-PBE)

Data for crystalline MgAg2P at its relaxed geometry.

Geometry as POSCAR:
```
MgAg2P
1.0
-2.734 -3.381 -1.656
-1.454 -3.405 2.817
-4.468 -0.213 1.277
Ag P Mg
2 1 1
direct
0.750 0.750 0.750
0.250 0.250 0.250
0.500 0.500 0.500
0.000 0.000 0.000
```

Properties
SG: Fm-3m (225)
Formation enthalpy at 0 K in eV/f.u.: 0.38
Offset from the most stable computed form in kJ per mole of atoms: 16.60
VASP energy in Ry/atom: -0.227



Entry 6:
## MgAg2P (GGA-PBE)

Data for crystalline MgAg2P at its relaxed geometry.

Geometry as POSCAR:
```
MgAg2P
1.0
-2.625 -2.656 1.178
2.247 -2.085 0.307
1.927 0.664 5.789
Ag Mg P
2 1 1
direct
0.000 0.807 0.009
0.500 0.186 0.254
0.000 0.547 0.532
0.500 0.960 0.705
```

Properties
SG: Pm (6)
Formation enthalpy at 0 K in eV/f.u.: -0.21
Offset from the most stable computed form in kJ per mole of atoms: 2.43
VASP energy in Ry/atom: -0.237



Entry 7:
## MgAgP2 (GGA-PBE)

Data for crystalline MgAgP2 at its relaxed geometry.

Geometry as POSCAR:
```
MgAgP2
1.0
-2.429 -0.476 5.559
-4.552 -2.584 3.103
-1.200 -3.975 4.449
Mg Ag P
1 1 2
direct
0.750 0.750 0.750
0.250 0.250 0.250
0.994 0.994 0.994
0.506 0.506 0.506
```

Properties
SG: R-3m (166)
Formation enthalpy at 0 K in eV/f.u.: 0.53
VASP energy in Ry/atom: -0.271



Entry 8:
## MgAg2P (GGA-PBE)

Data for crystalline MgAg2P at its relaxed geometry.

Geometry as POSCAR:
```
MgAg2P
1.0
-4.086 1.980 -1.054
-3.966 -1.829 1.631
-2.420 2.244 3.292
Ag Mg P
2 1 1
direct
0.250 0.250 0.250
0.000 0.000 0.000
0.500 0.500 0.500
0.750 0.750 0.750
```

Properties
SG: F-43m (216)
Formation enthalpy at 0 K in eV/f.u.: 0.14
Offset from the most stable computed form in kJ per mole of atoms: 10.86
VASP energy in Ry/atom: -0.231



Entry 9:
## MgAgP2 (GGA-PBE)

Data for crystalline MgAgP2 at its relaxed geometry.

Geometry as POSCAR:
```
MgAgP2
1.0
3.588 0.000 0.000
0.000 3.589 0.000
0.000 0.000 5.576
P Mg Ag
2 1 1
direct
0.000 0.000 0.552
0.000 0.000 0.948
0.500 0.500 0.750
0.500 0.500 0.250
```

Properties
SG: P4/mmm (123)
Formation enthalpy at 0 K in eV/f.u.: 0.12
VASP energy in Ry/atom: -0.278



Entry 10:
## MgAg2P (GGA-PBE)

Data for crystalline MgAg2P at its relaxed geometry.

Geometry as POSCAR:
```
MgAg2P
1.0
-0.212 0.748 3.915
-3.954 -0.531 -0.112
-0.896 -9.110 3.726
Ag Mg P
4 2 2
direct
0.635 0.125 0.250
0.875 0.885 0.750
0.115 0.625 0.250
0.375 0.365 0.750
0.250 0.750 0.500
0.500 0.500 0.000
0.000 0.000 0.000
0.750 0.250 0.500
```

Properties
SG: I-42d (122)
Formation enthalpy at 0 K in eV/f.u.: 0.21
Offset from the most stable computed form in kJ per mole of atoms: 12.60
VASP energy in Ry/atom: -0.230



Entry 11:
## RbMgAgP (GGA-PBE)

Data for crystalline RbMgAgP at its relaxed geometry.

Geometry as POSCAR:
```
RbMgAgP
1.0
-0.482 2.926 2.939
-3.897 0.693 -1.329
-4.510 -9.206 8.428
P Rb Mg Ag
2 2 2 2
direct
0.750 0.750 0.885
0.250 0.250 0.115
0.250 0.250 0.747
0.750 0.750 0.253
0.750 0.250 0.000
0.250 0.750 0.000
0.250 0.750 0.500
0.750 0.250 0.500
```

Properties
SG: P4/nmm (129)
Formation enthalpy at 0 K in eV/f.u.: -1.19
VASP energy in Ry/atom: -0.221



Entry 12:
## MgAgPRh2 (GGA-PBE)

Data for crystalline MgAgPRh2 at its relaxed geometry.

Geometry as POSCAR:
```
MgAgPRh2
1.0
-3.108 2.674 1.582
-1.898 -3.581 2.324
2.543 0.903 3.468
Mg Rh Ag P
1 2 1 1
direct
0.500 0.500 0.500
0.000 0.000 0.500
0.500 0.000 0.000
0.000 0.500 0.000
0.000 0.000 0.000
```

Properties
SG: P4/mmm (123)
Formation enthalpy at 0 K in eV/f.u.: -0.84
VASP energy in Ry/atom: -0.373



| no. | size of the total moment (μB per cell) |
| --- | --- |
| 1 | 0.0 |
| 2 | 0.0 |
| 3 | 0.0 |
| 4 | 0.0 |
| 5 | 0.0 |
| 6 | 0.0 |
| 7 | 0.0 |
| 8 | 0.0 |
| 9 | 0.0 |
| 10 | 0.0 |
| 11 | 0.0 |
| 12 | 0.0 |